Entry 1:
Here is crystalline BeTe2IBr at its relaxed geometry from the Alexandria database. Energies are from GGA-PBEsol.

Geometry as extended XYZ:
```
5
Lattice="5.0260 0.0000 0.0000 0.0000 5.0260 0.0000 0.0000 0.0000 5.0229" Properties=species:S:1:pos:R:3 pbc="T T T"
Be 0.0000 0.0000 0.0000
Te 0.0000 2.5130 0.0000
Te 2.5130 0.0000 0.0000
I 0.0000 0.0000 2.5114
Br 2.5130 2.5130 2.5114
```

energy	-2.6810	eV/atom
space-group type	No. 123
calculated volume	127	Å³/cell
raw formation energy	0.257	eV per atom

Entry 2:
Here is crystalline BeInBr2 at its relaxed geometry from the Alexandria database. Energies are from GGA-PBEsol.

Geometry as extended XYZ:
```
4
Lattice="3.3571 0.0000 0.0000 0.0000 3.3571 0.0000 0.0000 0.0000 8.7696" Properties=species:S:1:pos:R:3 pbc="T T T"
Be 0.0000 0.0000 0.0000
In 1.6785 1.6785 4.5938
Br 0.0000 0.0000 2.0429
Br 1.6785 1.6785 7.9868
```

energy	-2.9479	eV/atom
E above lowest polymorph	0	meV/atom
space-group type	No. 99
calculated volume	99	Å³/cell
raw formation energy	-0.267	eV per atom